[1]
This record from Alexandria via LeMat-Bulk describes an optimized crystal structure of NaTeCl6. The functional is PBE-GGA.

Lattice parameters (Å, degrees): 6.7248 7.0073 6.9764 59.85 80.28 70.35
Last column: magnetic moment on the atom in μB.
Sites, in units of the cell vectors:
Na  0.0000  0.0000  0.0000  0.00
Te  0.5000  0.5000  0.0000  0.10
Cl  0.7339  0.4332  0.7096  0.08
Cl  0.7339  0.1428  0.2904  0.08
Cl  0.2661  0.8572  0.7096  0.08
Cl  0.2661  0.5668  0.2904  0.08
Cl  0.7093  0.7275  0.0000  0.08
Cl  0.2907  0.2725  0.0000  0.08

Calculated values
The magnetic moment is 0.0913 μB per atom. For the energy relative to the elements, uncorrected, the calculation gives -756 meV/atom. The crystal system is monoclinic. The volume comes out at 267.7 Å³/cell. The electronic total energy comes out at -21.59 eV/f.u. The density of states at the Fermi level comes out at 4.8 states/eV/cell.

[2]
This record from Alexandria via LeMat-Bulk describes an optimized crystal structure of NaTeCl3. The functional is PBE-GGA.

Lattice parameters (Å, degrees): 5.0202 5.0202 5.0202 90.00 90.00 90.00
Sites, in units of the cell vectors:
Na  0.0000  0.0000  0.0000
Te  0.5000  0.5000  0.5000
Cl  0.0000  0.5000  0.0000
Cl  0.0000  0.0000  0.5000
Cl  0.5000  0.0000  0.0000

Calculated values
The magnetic moment is 0.0000 μB per atom. For the energy relative to the elements, uncorrected, the calculation gives -295 meV/atom. The crystal system is cubic. The volume comes out at 126.5 Å³/cell. The electronic total energy comes out at -11.48 eV/f.u. Its excess energy over the best structure of this formula in the dataset is 636 meV/atom. The density of states at the Fermi level comes out at 3.2 states/eV/cell.

[3]
This record from Alexandria via LeMat-Bulk describes an optimized crystal structure of NaTeCl2. The functional is PBE-GGA.

Lattice parameters (Å, degrees): 10.0171 10.0171 10.0171 20.74 20.74 20.74
Last column: magnetic moment on the atom in μB.
Sites, in units of the cell vectors:
Na  0.0000  0.0000  0.0000  0.00
Te  0.5000  0.5000  0.5000  0.15
Cl  0.9158  0.9158  0.9158  0.02
Cl  0.0842  0.0842  0.0842  0.02

Calculated values
The magnetic moment is 0.0768 μB per atom. For the energy relative to the elements, uncorrected, the calculation gives -336 meV/atom. The crystal system is trigonal. The volume comes out at 110.4 Å³/cell. The electronic total energy comes out at -9.50 eV/f.u. Its excess energy over the best structure of this formula in the dataset is 581 meV/atom. The density of states at the Fermi level comes out at 3.7 states/eV/cell.

[4]
This record from Alexandria via LeMat-Bulk describes an optimized crystal structure of Na2TeCl. The functional is PBE-GGA.

Lattice parameters (Å, degrees): 3.8730 3.8730 8.3369 76.57 76.57 60.00
Sites, in units of the cell vectors:
Na  0.2632  0.2632  0.2104
Na  0.7368  0.7368  0.7896
Te  0.5000  0.5000  0.5000
Cl  0.0000  0.0000  0.0000

Calculated values
The magnetic moment is 0.0000 μB per atom. For the energy relative to the elements, uncorrected, the calculation gives -1152 meV/atom. The crystal system is trigonal. The volume comes out at 104.3 Å³/cell. The electronic total energy comes out at -12.23 eV/f.u. Its excess energy over the best structure of this formula in the dataset is 0 meV/atom. The density of states at the Fermi level comes out at 0.9 states/eV/cell.

[5]
This record from Alexandria via LeMat-Bulk describes an optimized crystal structure of Na2TeCl6. The functional is PBE-GGA.

Lattice parameters (Å, degrees): 6.5014 6.5014 12.3842 90.00 90.00 90.00
Sites, in units of the cell vectors:
Na  0.0000  0.0000  0.3339
Na  0.5000  0.5000  0.8339
Na  0.5000  0.5000  0.1661
Na  0.0000  0.0000  0.6661
Te  0.0000  0.0000  0.0000
Te  0.5000  0.5000  0.5000
Cl  0.3108  0.3108  0.3470
Cl  0.6892  0.6892  0.3470
Cl  0.1892  0.8108  0.8470
Cl  0.8108  0.1892  0.8470
Cl  0.1892  0.8108  0.1530
Cl  0.8108  0.1892  0.1530
Cl  0.3108  0.3108  0.6530
Cl  0.6892  0.6892  0.6530
Cl  0.2806  0.2806  0.0000
Cl  0.7194  0.7194  0.0000
Cl  0.2194  0.7806  0.5000
Cl  0.7806  0.2194  0.5000

Calculated values
The magnetic moment is 0.0000 μB per atom. For the energy relative to the elements, uncorrected, the calculation gives -1128 meV/atom. The crystal system is tetragonal. The volume comes out at 523.5 Å³/cell. The electronic total energy comes out at -27.01 eV/f.u. Its excess energy over the best structure of this formula in the dataset is 18 meV/atom. The density of states at the Fermi level comes out at 0.0 states/eV/cell.

[6]
This record from Alexandria via LeMat-Bulk describes an optimized crystal structure of Na2TeCl. The functional is PBE-GGA.

Lattice parameters (Å, degrees): 5.3464 5.3464 5.3464 60.00 60.00 60.00
Last column: magnetic moment on the atom in μB.
Sites, in units of the cell vectors:
Na  0.2500  0.2500  0.2500  0.00
Na  0.7500  0.7500  0.7500  0.00
Te  0.5000  0.5000  0.5000  0.39
Cl  0.0000  0.0000  0.0000  0.20

Calculated values
The magnetic moment is 0.2500 μB per atom. For the energy relative to the elements, uncorrected, the calculation gives -845 meV/atom. The crystal system is cubic. The volume comes out at 108.1 Å³/cell. The electronic total energy comes out at -11.01 eV/f.u. Its excess energy over the best structure of this formula in the dataset is 307 meV/atom. The density of states at the Fermi level comes out at 4.7 states/eV/cell.

[7]
This record from Alexandria via LeMat-Bulk describes an optimized crystal structure of NaTeCl3. The functional is PBE-GGA.

Lattice parameters (Å, degrees): 4.3510 9.0760 9.0690 75.64 70.91 70.83
Sites, in units of the cell vectors:
Na  0.1934  0.1191  0.5574
Na  0.2918  0.7850  0.2249
Te  0.7432  0.6345  0.7079
Te  0.7413  0.2699  0.0744
Cl  0.7340  0.3236  0.7628
Cl  0.7498  0.5809  0.0195
Cl  0.7253  0.2439  0.3614
Cl  0.7294  0.9216  0.6794
Cl  0.7559  0.9827  0.1024
Cl  0.7593  0.6604  0.4209

Calculated values
The magnetic moment is 0.0000 μB per atom. For the energy relative to the elements, uncorrected, the calculation gives -913 meV/atom. The crystal system is triclinic. The volume comes out at 315.7 Å³/cell. The electronic total energy comes out at -14.57 eV/f.u. Its excess energy over the best structure of this formula in the dataset is 18 meV/atom.

[8]
This record from Alexandria via LeMat-Bulk describes an optimized crystal structure of NaTlTeCl6. The functional is PBE-GGA.

Lattice parameters (Å, degrees): 7.1254 7.1254 13.6590 90.00 90.00 120.00
Sites, in units of the cell vectors:
Na  0.3333  0.6667  0.2500
Na  0.6667  0.3333  0.7500
Tl  0.0000  0.0000  0.0000
Tl  0.0000  0.0000  0.5000
Te  0.6667  0.3333  0.2500
Te  0.3333  0.6667  0.7500
Cl  0.6481  0.6187  0.1411
Cl  0.9706  0.3519  0.1411
Cl  0.3519  0.9706  0.6411
Cl  0.0294  0.6481  0.8589
Cl  0.3813  0.3519  0.3589
Cl  0.9706  0.6187  0.3589
Cl  0.6187  0.9706  0.8589
Cl  0.6481  0.0294  0.3589
Cl  0.0294  0.3813  0.6411
Cl  0.3813  0.0294  0.1411
Cl  0.6187  0.6481  0.6411
Cl  0.3519  0.3813  0.8589

Calculated values
The magnetic moment is 0.0000 μB per atom. For the energy relative to the elements, uncorrected, the calculation gives -987 meV/atom. The crystal system is trigonal. The volume comes out at 600.6 Å³/cell. The electronic total energy comes out at -26.79 eV/f.u. The density of states at the Fermi level comes out at 0.0 states/eV/cell.

[9]
This record from Alexandria via LeMat-Bulk describes an optimized crystal structure of NaVTe2Cl. The functional is PBE-GGA.

Lattice parameters (Å, degrees): 5.3092 5.4753 5.3092 90.00 90.00 90.00
Last column: magnetic moment on the atom in μB.
Sites, in units of the cell vectors:
Cl  0.5000  0.5000  0.5000  0.03
Te  0.0000  0.0000  0.5000  0.11
Te  0.5000  0.0000  0.0000  0.10
Na  0.0000  0.0000  0.0000  0.01
V  0.0000  0.5000  0.0000  -0.01

Calculated values
The magnetic moment is 0.0644 μB per atom. For the energy relative to the elements, uncorrected, the calculation gives 1084 meV/atom. The crystal system is tetragonal. The volume comes out at 154.3 Å³/cell. The electronic total energy comes out at -13.15 eV/f.u. The density of states at the Fermi level comes out at 13.0 states/eV/cell.